Record 1
Here is an optimized crystal structure of TaB from the Open Quantum Materials Database. Energies are from PBE.

Properties
Symmetry   P-6m2, No. 187
Energy above the most stable polymorph in this dataset   971 meV per atom

abc: 3.0780 3.0780 3.1258
angles: 90.00 90.00 120.00
Positions (direct):
Ta: 0.0000 0.0000 0.0000
B: 0.3333 0.6667 0.5000


Record 2
Here is an optimized crystal structure of TaB2 from the Open Quantum Materials Database. Energies are from PBE.

Properties
Symmetry   P6/mmm, No. 191
VASP energy   -0.665 Ry per atom

abc: 3.0998 3.0998 3.3179
angles: 90.00 90.00 120.00
Positions (direct):
Ta: 0.0000 0.0000 0.0000
B: 0.3333 0.6667 0.5000
B: 0.6667 0.3333 0.5000


Record 3
Here is an optimized crystal structure of TaB from the Open Quantum Materials Database. Energies are from PBE.

Properties
Symmetry   F-43m, No. 216
Energy above the most stable polymorph in this dataset   1376 meV per atom

abc: 4.9951 4.9951 4.9951
angles: 90.00 90.00 90.00
Positions (direct):
Ta: 0.0000 0.0000 0.0000
Ta: 0.0000 0.5000 0.5000
Ta: 0.5000 0.0000 0.5000
Ta: 0.5000 0.5000 0.0000
B: 0.2500 0.2500 0.2500
B: 0.2500 0.7500 0.7500
B: 0.7500 0.2500 0.7500
B: 0.7500 0.7500 0.2500


Record 4
Here is an optimized crystal structure of TaB2 from the Open Quantum Materials Database. Energies are from PBE.

Properties
Symmetry   Fd-3m, No. 227
VASP energy   -0.595 Ry per atom

abc: 4.3246 4.3246 4.3246
angles: 60.00 60.00 60.00
Positions (direct):
Ta: 0.1250 0.1250 0.1250
Ta: 0.8750 0.8750 0.8750
B: 0.0000 0.5000 0.5000
B: 0.5000 0.0000 0.5000
B: 0.5000 0.5000 0.0000
B: 0.5000 0.5000 0.5000


Record 5
Here is an optimized crystal structure of TaB from the Open Quantum Materials Database. Energies are from PBE.

Properties
Symmetry   Cmcm, No. 63
Energy above the most stable polymorph in this dataset   0 meV per atom

abc: 3.2927 8.7228 3.1637
angles: 90.00 90.00 90.00
Positions (direct):
Ta: 0.0000 0.1456 0.2500
Ta: 0.0000 0.8544 0.7500
Ta: 0.5000 0.3544 0.7500
Ta: 0.5000 0.6456 0.2500
B: 0.0000 0.4406 0.2500
B: 0.0000 0.5594 0.7500
B: 0.5000 0.0594 0.7500
B: 0.5000 0.9406 0.2500


Record 6
Here is an optimized crystal structure of TaB from the Open Quantum Materials Database. Energies are from PBE.

Properties
Symmetry   P6_3/mmc, No. 194
Energy above the most stable polymorph in this dataset   163 meV per atom

abc: 3.4076 3.4076 4.8351
angles: 90.00 90.00 120.00
Positions (direct):
Ta: 0.3333 0.6667 0.2500
Ta: 0.6667 0.3333 0.7500
B: 0.0000 0.0000 0.0000
B: 0.0000 0.0000 0.5000


Record 7
Here is an optimized crystal structure of TaB from the Open Quantum Materials Database. Energies are from PBE.

Properties
Symmetry   P6_3/mmc, No. 194
Energy above the most stable polymorph in this dataset   675 meV per atom

abc: 3.8525 3.8525 4.5540
angles: 90.00 90.00 120.00
Positions (direct):
Ta: 0.3333 0.6667 0.2500
Ta: 0.6667 0.3333 0.7500
B: 0.3333 0.6667 0.7500
B: 0.6667 0.3333 0.2500


Record 8
Here is an optimized crystal structure of TaB from the Open Quantum Materials Database. Energies are from PBE.

Properties
Symmetry   R-3m, No. 166
Energy above the most stable polymorph in this dataset   157 meV per atom

abc: 3.2459 3.2459 8.0023
angles: 90.00 90.00 120.00
Positions (direct):
Ta: 0.0000 0.0000 0.0000
Ta: 0.3333 0.6667 0.6667
Ta: 0.6667 0.3333 0.3333
B: 0.0000 0.0000 0.5000
B: 0.3333 0.6667 0.1667
B: 0.6667 0.3333 0.8333


Record 9
Here is an optimized crystal structure of Ta5B from the Open Quantum Materials Database. Energies are from PBE.

Properties
Symmetry   P6/mmm, No. 191
VASP energy   -0.704 Ry per atom

abc: 5.3729 5.3729 4.7878
angles: 90.00 90.00 120.00
Positions (direct):
Ta: 0.0000 0.5000 0.0000
Ta: 0.3333 0.6667 0.5000
Ta: 0.5000 0.0000 0.0000
Ta: 0.5000 0.5000 0.0000
Ta: 0.6667 0.3333 0.5000
B: 0.0000 0.0000 0.5000


Record 10
Here is an optimized crystal structure of TaB3 from the Open Quantum Materials Database. Energies are from PBE.

Properties
Symmetry   C2/m, No. 12
Energy above the most stable polymorph in this dataset   0 meV per atom

abc: 3.0849 5.3182 8.4348
angles: 90.00 93.92 90.00
Positions (direct):
Ta: 0.0386 0.0000 0.1972
Ta: 0.4614 0.5000 0.8028
Ta: 0.5386 0.5000 0.1972
Ta: 0.9614 0.0000 0.8028
B: 0.0000 0.3338 0.0000
B: 0.0000 0.6662 0.0000
B: 0.0869 0.3288 0.3991
B: 0.0869 0.6712 0.3991
B: 0.4131 0.1712 0.6009
B: 0.4131 0.8288 0.6009
B: 0.5000 0.1662 0.0000
B: 0.5000 0.8338 0.0000
B: 0.5869 0.1712 0.3991
B: 0.5869 0.8288 0.3991
B: 0.9131 0.3288 0.6009
B: 0.9131 0.6712 0.6009


Record 11
Here is an optimized crystal structure of TaB from the Open Quantum Materials Database. Energies are from PBE.

Properties
Symmetry   Fm-3m, No. 225
Energy above the most stable polymorph in this dataset   157 meV per atom

abc: 4.5975 4.5975 4.5975
angles: 90.00 90.00 90.00
Positions (direct):
Ta: 0.0000 0.0000 0.0000
Ta: 0.0000 0.5000 0.5000
Ta: 0.5000 0.0000 0.5000
Ta: 0.5000 0.5000 0.0000
B: 0.0000 0.0000 0.5000
B: 0.0000 0.5000 0.0000
B: 0.5000 0.0000 0.0000
B: 0.5000 0.5000 0.5000


Record 12
Here is an optimized crystal structure of TaB2 from the Open Quantum Materials Database. Energies are from PBE.

Properties
Symmetry   Fd-3m, No. 227
VASP energy   -0.436 Ry per atom

abc: 7.0808 7.0808 7.0808
angles: 60.00 60.00 60.00
Positions (direct):
Ta: 0.1250 0.1250 0.1250
Ta: 0.8750 0.8750 0.8750
B: 0.0000 0.0000 0.0000
B: 0.0000 0.0000 0.5000
B: 0.0000 0.5000 0.0000
B: 0.5000 0.0000 0.0000


Record 13
Here is an optimized crystal structure of TbTaB4 from the Open Quantum Materials Database. Energies are from PBE.

Properties
Symmetry   P6/mmm, No. 191
VASP energy   -0.583 Ry per atom

abc: 3.1455 3.1455 7.3054
angles: 90.00 90.00 120.00
Positions (direct):
Tb: 0.0000 0.0000 0.0000
Ta: 0.0000 0.0000 0.5000
B: 0.3333 0.6667 0.2734
B: 0.3333 0.6667 0.7266
B: 0.6667 0.3333 0.2734
B: 0.6667 0.3333 0.7266


Record 14
Here is an optimized crystal structure of Ta2TcB from the Open Quantum Materials Database. Energies are from PBE.

Properties
Symmetry   F-43m, No. 216
VASP energy   -0.715 Ry per atom

abc: 6.1459 6.1459 6.1459
angles: 90.00 90.00 90.00
Positions (direct):
Ta: 0.0000 0.0000 0.0000
Ta: 0.0000 0.5000 0.5000
Ta: 0.2500 0.2500 0.2500
Ta: 0.2500 0.7500 0.7500
Ta: 0.5000 0.0000 0.5000
Ta: 0.5000 0.5000 0.0000
Ta: 0.7500 0.2500 0.7500
Ta: 0.7500 0.7500 0.2500
Tc: 0.2500 0.2500 0.7500
Tc: 0.2500 0.7500 0.2500
Tc: 0.7500 0.2500 0.2500
Tc: 0.7500 0.7500 0.7500
B: 0.0000 0.0000 0.5000
B: 0.0000 0.5000 0.0000
B: 0.5000 0.0000 0.0000
B: 0.5000 0.5000 0.5000


Record 15
Here is an optimized crystal structure of TaTcB4 from the Open Quantum Materials Database. Energies are from PBE.

Properties
Symmetry   P6/mmm, No. 191
Energy above the most stable polymorph in this dataset   30 meV per atom

abc: 3.0773 3.0773 6.5583
angles: 90.00 90.00 120.00
Positions (direct):
Ta: 0.0000 0.0000 0.0000
Tc: 0.0000 0.0000 0.5000
B: 0.3333 0.6667 0.2506
B: 0.3333 0.6667 0.7494
B: 0.6667 0.3333 0.2506
B: 0.6667 0.3333 0.7494


Record 16
Here is an optimized crystal structure of TaTcB4 from the Open Quantum Materials Database. Energies are from PBE.

Properties
Symmetry   Immm, No. 71
Energy above the most stable polymorph in this dataset   19 meV per atom

abc: 3.0454 5.2531 6.7245
angles: 90.00 90.00 90.00
Positions (direct):
Ta: 0.0000 0.0000 0.0000
Ta: 0.5000 0.5000 0.5000
Tc: 0.0000 0.0000 0.5000
Tc: 0.5000 0.5000 0.0000
B: 0.0000 0.3306 0.2520
B: 0.0000 0.3306 0.7480
B: 0.0000 0.6694 0.2520
B: 0.0000 0.6694 0.7480
B: 0.5000 0.1694 0.2480
B: 0.5000 0.1694 0.7520
B: 0.5000 0.8306 0.2480
B: 0.5000 0.8306 0.7520


Record 17
Here is an optimized crystal structure of TaTcB2 from the Open Quantum Materials Database. Energies are from PBE.

Properties
Symmetry   F-43m, No. 216
VASP energy   -0.586 Ry per atom

abc: 5.7554 5.7554 5.7554
angles: 90.00 90.00 90.00
Positions (direct):
Ta: 0.0000 0.0000 0.0000
Ta: 0.0000 0.5000 0.5000
Ta: 0.5000 0.0000 0.5000
Ta: 0.5000 0.5000 0.0000
Tc: 0.2500 0.2500 0.2500
Tc: 0.2500 0.7500 0.7500
Tc: 0.7500 0.2500 0.7500
Tc: 0.7500 0.7500 0.2500
B: 0.0000 0.0000 0.5000
B: 0.0000 0.5000 0.0000
B: 0.2500 0.2500 0.7500
B: 0.2500 0.7500 0.2500
B: 0.5000 0.0000 0.0000
B: 0.5000 0.5000 0.5000
B: 0.7500 0.2500 0.2500
B: 0.7500 0.7500 0.7500


Record 18
Here is an optimized crystal structure of TaTcB4 from the Open Quantum Materials Database. Energies are from PBE.

Properties
Symmetry   P-6m2, No. 187
Energy above the most stable polymorph in this dataset   0 meV per atom

abc: 2.9297 2.9297 7.8456
angles: 90.00 90.00 120.00
Positions (direct):
Ta: 0.0000 0.0000 0.0000
Tc: 0.6667 0.3333 0.5000
B: 0.0000 0.0000 0.3038
B: 0.0000 0.0000 0.6962
B: 0.6667 0.3333 0.2214
B: 0.6667 0.3333 0.7786


Record 19
Here is an optimized crystal structure of ThTaB from the Open Quantum Materials Database. Energies are from PBE.

Properties
Symmetry   F-43m, No. 216
Energy above the most stable polymorph in this dataset   0 meV per atom

abc: 6.1521 6.1521 6.1521
angles: 90.00 90.00 90.00
Positions (direct):
Th: 0.0000 0.0000 0.0000
Th: 0.0000 0.5000 0.5000
Th: 0.5000 0.0000 0.5000
Th: 0.5000 0.5000 0.0000
Ta: 0.0000 0.0000 0.5000
Ta: 0.0000 0.5000 0.0000
Ta: 0.5000 0.0000 0.0000
Ta: 0.5000 0.5000 0.5000
B: 0.2500 0.2500 0.7500
B: 0.2500 0.7500 0.2500
B: 0.7500 0.2500 0.2500
B: 0.7500 0.7500 0.7500


Record 20
Here is an optimized crystal structure of Ta4TlB3 from the Open Quantum Materials Database. Energies are from PBE.

Properties
Symmetry   P6_3/mmc, No. 194
VASP energy   -0.674 Ry per atom

abc: 3.2988 3.2988 24.6842
angles: 90.00 90.00 120.00
Positions (direct):
Ta: 0.0000 0.0000 0.1526
Ta: 0.0000 0.0000 0.3474
Ta: 0.0000 0.0000 0.6526
Ta: 0.0000 0.0000 0.8474
Ta: 0.3333 0.6667 0.0510
Ta: 0.3333 0.6667 0.4490
Ta: 0.6667 0.3333 0.5510
Ta: 0.6667 0.3333 0.9490
Tl: 0.3333 0.6667 0.2500
Tl: 0.6667 0.3333 0.7500
B: 0.0000 0.0000 0.0000
B: 0.0000 0.0000 0.5000
B: 0.3333 0.6667 0.6066
B: 0.3333 0.6667 0.8934
B: 0.6667 0.3333 0.1066
B: 0.6667 0.3333 0.3934


Number 1: M_tot 0.00 μB/cell. Number 2: M_tot 0.00 μB/cell. Number 3: M_tot 0.00 μB/cell. Number 4: M_tot 0.00 μB/cell. Number 5: M_tot 0.00 μB/cell. Number 6: M_tot 0.00 μB/cell. Number 7: M_tot 0.00 μB/cell. Number 8: M_tot 0.01 μB/cell. Number 9: M_tot 0.05 μB/cell. Number 10: M_tot 0.01 μB/cell. Number 11: M_tot 0.01 μB/cell. Number 12: M_tot 0.00 μB/cell. Number 13: M_tot 0.02 μB/cell. Number 14: M_tot 1.51 μB/cell. Number 15: M_tot 0.03 μB/cell. Number 16: M_tot 0.01 μB/cell. Number 17: M_tot 0.01 μB/cell. Number 18: M_tot 0.00 μB/cell. Number 19: M_tot 0.03 μB/cell. Number 20: M_tot 0.01 μB/cell.